Record 1
A plane-wave DFT calculation with PBE was carried out for CdCu2Ir after structural relaxation. Values from VASP.

Space group: Pmm2, No. 25
Density of states at the Fermi level (states/eV per cell): 2.41
VASP energy (eV per atom): -4.3217
Magnetic moment (μB per formula unit): 0.000
V (A^3/atom): 14.75
Calculated formation energy (eV per atom): 0.170

```
&SYSTEM
  ibrav = 0, nat = 4, ntyp = 3
/
ATOMIC_SPECIES
Cd 112.41 Cd.upf
Cu 63.55 Cu.upf
Ir 192.22 Ir.upf
CELL_PARAMETERS angstrom
2.7830 0.0000 0.0000
0.0000 3.7698 0.0000
0.0000 0.0000 5.6227
ATOMIC_POSITIONS crystal
Cd 0.0000 0.0000 0.0000
Cu 0.0000 0.0000 0.4913
Cu 0.5000 0.5000 0.2621
Ir 0.5000 0.5000 0.7170
```

---

Record 2
A plane-wave DFT calculation with PBE was carried out for CsBe2AsPb after structural relaxation. Values from VASP.

Space group: P4/mmm, No. 123
Density of states at the Fermi level (states/eV per cell): 2.36
VASP energy (eV per atom): -1.1955
Magnetic moment (μB per formula unit): 0.000
V (A^3/atom): 33.77
Calculated formation energy (eV per atom): 2.137

```
&SYSTEM
  ibrav = 0, nat = 5, ntyp = 4
/
ATOMIC_SPECIES
Cs 132.91 Cs.upf
Be 9.01 Be.upf
As 74.92 As.upf
Pb 207.20 Pb.upf
CELL_PARAMETERS angstrom
5.1176 0.0000 0.0000
0.0000 5.1176 0.0000
0.0000 0.0000 6.4477
ATOMIC_POSITIONS crystal
Cs 0.0000 0.0000 0.0000
Be 0.0000 0.5000 0.0000
Be 0.5000 0.0000 0.0000
As 0.5000 0.5000 0.5000
Pb 0.0000 0.0000 0.5000
```

---

Record 3
A plane-wave DFT calculation with PBE was carried out for ZnNiHg4 after structural relaxation. Values from VASP.

Space group: F-43m, No. 216
Density of states at the Fermi level (states/eV per cell): 4.79
VASP energy (eV per atom): -0.7717
Magnetic moment (μB per formula unit): 0.127
V (A^3/atom): 23.07
Calculated formation energy (eV per atom): 0.605

```
&SYSTEM
  ibrav = 0, nat = 6, ntyp = 3
/
ATOMIC_SPECIES
Zn 65.41 Zn.upf
Ni 58.69 Ni.upf
Hg 200.59 Hg.upf
CELL_PARAMETERS angstrom
0.0000 4.1055 4.1055
4.1055 0.0000 4.1055
4.1055 4.1055 0.0000
ATOMIC_POSITIONS crystal
Zn 0.0000 0.0000 0.0000
Ni 0.2500 0.2500 0.2500
Hg 0.1263 0.6246 0.6246
Hg 0.6246 0.1263 0.6246
Hg 0.6246 0.6246 0.1263
Hg 0.6246 0.6246 0.6246
```